Sr3CdIrO6 | the Open Quantum Materials Database | GGA-PBE | optimized geometry; space group = R-3c (167); electronic total energy = -6.022 eV per atom
1.0
4.7998 2.7712 3.9108
-4.7998 2.7712 3.9108
0.0000 -5.5424 3.9108
Sr Cd Ir O
6 2 2 12
direct
0.1124 0.7500 0.3876
0.2500 0.6124 0.8876
0.3876 0.1124 0.7500
0.6124 0.8876 0.2500
0.7500 0.3876 0.1124
0.8876 0.2500 0.6124
0.2500 0.2500 0.2500
0.7500 0.7500 0.7500
0.0000 0.0000 0.0000
0.5000 0.5000 0.5000
0.0523 0.9164 0.7154
0.0836 0.2846 0.9477
0.2154 0.4164 0.5523
0.2846 0.9477 0.0836
0.4164 0.5523 0.2154
0.4477 0.7846 0.5836
0.5523 0.2154 0.4164
0.5836 0.4477 0.7846
0.7154 0.0523 0.9164
0.7846 0.5836 0.4477
0.9164 0.7154 0.0523
0.9477 0.0836 0.2846

---

Cd2IrOs | the Open Quantum Materials Database | GGA-PBE | optimized geometry; space group = F-43m (216); E_form = 0.609 eV/atom
1.0
0.0000 3.2369 3.2369
3.2369 0.0000 3.2369
3.2369 3.2369 0.0000
Cd Ir Os
2 1 1
direct
0.0000 0.0000 0.0000
0.2500 0.2500 0.2500
0.7500 0.7500 0.7500
0.5000 0.5000 0.5000

---

PaCdIr | the Open Quantum Materials Database | GGA-PBE | optimized geometry; space group = F-43m (216); energy above the most stable polymorph in this dataset = 0.000 eV/atom; E_form = -0.256 eV/atom
1.0
0.0000 3.2996 3.2996
3.2996 0.0000 3.2996
3.2996 3.2996 0.0000
Pa Cd Ir
1 1 1
direct
0.0000 0.0000 0.0000
0.5000 0.5000 0.5000
0.7500 0.7500 0.7500

---

Ρ: 7.1 14.9 12.4 (g/cm3)
Magnetization: 0.091 0.373 0.106 (μB per atom)